No. 1
Entry from Alexandria: an optimized crystal structure of Cs3TeH (PBE).

abc: 10.9968 10.9968 7.3763
angles: 90.00 90.00 137.49
Last column: nearest neighbours and their distance in Å.
Element x y z (fractional)
1 Cs 0.0000 0.0000 0.0000  2 Cs 3.69, 2 Te 3.75
2 Cs 0.0000 0.0000 0.5000  2 Cs 3.69, 2 Te 3.75
3 Cs 0.0621 0.4349 0.2500  1 H 2.80
4 Cs 0.4349 0.0621 0.7500  1 H 2.80
5 Cs 0.5651 0.9379 0.2500  1 H 2.80
6 Cs 0.9379 0.5651 0.7500  1 H 2.80
7 Te 0.1593 0.8407 0.2500  4 Cs 3.74-3.75
8 Te 0.8407 0.1593 0.7500  4 Cs 3.74-3.75
9 H 0.4091 0.5909 0.2500  2 Cs 2.80
10 H 0.5909 0.4091 0.7500  2 Cs 2.80

Energy above the lowest structure with this stoichiometry   0.279 eV/atom
SG   No. 63

=====

No. 2
Entry from Alexandria: an optimized crystal structure of Cs3TeH (PBE).

abc: 10.5540 10.5540 8.6126
angles: 101.95 101.95 88.50
Last column: nearest neighbours and their distance in Å.
Element x y z (fractional)
1 Cs 0.0139 0.8148 0.8990  1 H 3.20
2 Cs 0.1852 0.9861 0.6010  1 H 3.20
3 Cs 0.2191 0.4785 0.5205  2 H 2.99-3.28
4 Cs 0.2417 0.5515 0.0206  2 H 3.02-3.37
5 Cs 0.4485 0.7583 0.4794  2 H 3.02-3.37
6 Cs 0.4785 0.2191 0.0205  2 H 2.99-3.28
7 Cs 0.5215 0.7809 0.9795  2 H 2.99-3.28
8 Cs 0.5515 0.2417 0.5206  2 H 3.02-3.37
9 Cs 0.7583 0.4485 0.9794  2 H 3.02-3.37
10 Cs 0.7809 0.5215 0.4795  2 H 2.99-3.28
11 Cs 0.8148 0.0139 0.3990  1 H 3.20
12 Cs 0.9861 0.1852 0.1010  1 H 3.20
13 Te 0.0127 0.3070 0.7213  7 Cs 3.75-4.00
14 Te 0.3070 0.0127 0.2213  7 Cs 3.75-4.00
15 Te 0.6930 0.9873 0.7787  7 Cs 3.75-4.00
16 Te 0.9873 0.6930 0.2787  7 Cs 3.75-4.00
17 H 0.2651 0.7349 0.7500  4 Cs 2.99-3.20
18 H 0.4904 0.5096 0.2500  4 Cs 3.02-3.28
19 H 0.5096 0.4904 0.7500  4 Cs 3.02-3.28
20 H 0.7349 0.2651 0.2500  4 Cs 2.99-3.20

Energy above the lowest structure with this stoichiometry   0.092 eV/atom
SG   No. 15

=====

No. 3
Entry from Alexandria: an optimized crystal structure of Cs3TeH (PBE).

abc: 8.7257 8.2052 12.8808
angles: 90.00 99.15 90.00
Last column: nearest neighbours and their distance in Å.
Element x y z (fractional)
1 Cs 0.0653 0.0578 0.1611  2 H 2.99-3.17
2 Cs 0.0653 0.4422 0.6611  2 H 2.99-3.17
3 Cs 0.2251 0.5377 0.0752  2 H 3.11-3.18
4 Cs 0.2251 0.9623 0.5752  2 H 3.11-3.18
5 Cs 0.4037 0.1841 0.8874  1 H 3.10
6 Cs 0.4037 0.3159 0.3874  1 H 3.10
7 Cs 0.5963 0.6841 0.6126  1 H 3.10
8 Cs 0.5963 0.8159 0.1126  1 H 3.10
9 Cs 0.7749 0.0377 0.4248  2 H 3.11-3.18
10 Cs 0.7749 0.4623 0.9248  2 H 3.11-3.18
11 Cs 0.9347 0.5578 0.3389  2 H 2.99-3.17
12 Cs 0.9347 0.9422 0.8389  2 H 2.99-3.17
13 Te 0.3539 0.7239 0.8405  7 Cs 3.72-4.07
14 Te 0.3539 0.7761 0.3405  7 Cs 3.72-4.07
15 Te 0.6461 0.2239 0.6595  7 Cs 3.72-4.07
16 Te 0.6461 0.2761 0.1595  7 Cs 3.72-4.07
17 H 0.0775 0.2413 0.9462  5 Cs 2.99-3.18
18 H 0.0775 0.2587 0.4462  5 Cs 2.99-3.18
19 H 0.9225 0.7413 0.5538  5 Cs 2.99-3.18
20 H 0.9225 0.7587 0.0538  5 Cs 2.99-3.18

Energy above the lowest structure with this stoichiometry   0.043 eV/atom
SG   No. 14

=====

No. 4
Entry from Alexandria: an optimized crystal structure of Cs3TeH (PBE).

abc: 5.9478 5.9478 5.9478
angles: 90.00 90.00 90.00
Last column: nearest neighbours and their distance in Å.
Element x y z (fractional)
1 Cs 0.0000 0.0000 0.5000  2 H 2.97
2 Cs 0.0000 0.5000 0.0000  2 H 2.97
3 Cs 0.5000 0.0000 0.0000  2 H 2.97
4 Te 0.5000 0.5000 0.5000  12 Cs 4.21
5 H 0.0000 0.0000 0.0000  6 Cs 2.97

Energy above the lowest structure with this stoichiometry   0.011 eV/atom
SG   No. 221

=====

No. 5
Entry from Alexandria: an optimized crystal structure of Cs5Te2H (PBE).

abc: 10.5923 8.3463 17.0617
angles: 90.00 90.00 90.00
Last column: nearest neighbours and their distance in Å.
Element x y z (fractional)
1 Cs 0.0000 0.0000 0.0000  2 H 3.10
2 Cs 0.0000 0.5000 0.0000  2 H 3.10
3 Cs 0.0181 0.2500 0.2101  1 H 2.98
4 Cs 0.1433 0.0179 0.6137  1 H 2.98
5 Cs 0.1433 0.4821 0.6137  1 H 2.98
6 Cs 0.2180 0.7500 0.3800  1 H 3.39, 2 Te 3.67-3.68
7 Cs 0.2820 0.2500 0.8800  1 H 3.39, 2 Te 3.67-3.68
8 Cs 0.3567 0.5179 0.1137  1 H 2.98
9 Cs 0.3567 0.9821 0.1137  1 H 2.98
10 Cs 0.4819 0.7500 0.7101  1 H 2.98
11 Cs 0.5000 0.0000 0.5000  2 H 3.10
12 Cs 0.5000 0.5000 0.5000  2 H 3.10
13 Cs 0.5181 0.2500 0.2899  1 H 2.98
14 Cs 0.6433 0.0179 0.8863  1 H 2.98
15 Cs 0.6433 0.4821 0.8863  1 H 2.98
16 Cs 0.7180 0.7500 0.1200  1 H 3.39, 2 Te 3.67-3.68
17 Cs 0.7820 0.2500 0.6200  1 H 3.39, 2 Te 3.67-3.68
18 Cs 0.8567 0.5179 0.3863  1 H 2.98
19 Cs 0.8567 0.9821 0.3863  1 H 2.98
20 Cs 0.9819 0.7500 0.7899  1 H 2.98
21 Te 0.0445 0.7500 0.1936  6 Cs 3.67-4.07
22 Te 0.1762 0.2500 0.4184  10 Cs 3.87-4.25
23 Te 0.3238 0.7500 0.9184  10 Cs 3.87-4.25
24 Te 0.4555 0.2500 0.6936  6 Cs 3.67-4.07
25 Te 0.5445 0.7500 0.3064  6 Cs 3.67-4.07
26 Te 0.6762 0.2500 0.0816  10 Cs 3.87-4.25
27 Te 0.8238 0.7500 0.5816  10 Cs 3.87-4.25
28 Te 0.9555 0.2500 0.8064  6 Cs 3.67-4.07
29 H 0.1845 0.2500 0.0695  5 Cs 2.98-3.10
30 H 0.3155 0.7500 0.5695  5 Cs 2.98-3.10
31 H 0.6845 0.2500 0.4305  5 Cs 2.98-3.10
32 H 0.8155 0.7500 0.9305  5 Cs 2.98-3.10

E   -80.45 eV per cell
SG   No. 62

=====

No. 6
Entry from Alexandria: an optimized crystal structure of Cs3TeH (PBE).

abc: 9.7481 9.9603 11.1758
angles: 90.00 96.65 90.00
Last column: nearest neighbours and their distance in Å.
Element x y z (fractional)
1 Cs 0.0116 0.1365 0.1561  2 H 3.04-3.14
2 Cs 0.0116 0.3635 0.6561  2 H 3.04-3.14
3 Cs 0.2122 0.5370 0.9496  2 H 2.99-3.21
4 Cs 0.2122 0.9630 0.4496  2 H 2.99-3.21
5 Cs 0.3852 0.5387 0.3193  1 H 3.25
6 Cs 0.3852 0.9613 0.8193  1 H 3.25
7 Cs 0.6148 0.0387 0.1807  1 H 3.25
8 Cs 0.6148 0.4613 0.6807  1 H 3.25
9 Cs 0.7878 0.0370 0.5504  2 H 2.99-3.21
10 Cs 0.7878 0.4630 0.0504  2 H 2.99-3.21
11 Cs 0.9884 0.6365 0.3439  2 H 3.04-3.14
12 Cs 0.9884 0.8635 0.8439  2 H 3.04-3.14
13 Te 0.2743 0.6458 0.6252  7 Cs 3.73-3.95
14 Te 0.2743 0.8542 0.1252  7 Cs 3.73-3.95
15 Te 0.7257 0.1458 0.8748  7 Cs 3.73-3.95
16 Te 0.7257 0.3542 0.3748  7 Cs 3.73-3.95
17 H 0.1018 0.0712 0.6686  5 Cs 2.99-3.25
18 H 0.1018 0.4288 0.1686  5 Cs 2.99-3.25
19 H 0.8982 0.5712 0.8314  5 Cs 2.99-3.25
20 H 0.8982 0.9288 0.3314  5 Cs 2.99-3.25

Energy above the lowest structure with this stoichiometry   0.068 eV/atom
SG   No. 14

=====

No. 7
Entry from Alexandria: an optimized crystal structure of Cs12Te5H2 (PBE).

abc: 11.3397 11.3397 12.0519
angles: 105.34 105.34 49.27
Last column: nearest neighbours and their distance in Å.
Element x y z (fractional)
1 Cs 0.0006 0.0006 0.1852  2 H 3.38, 2 Te 3.72-3.73
2 Cs 0.0671 0.5911 0.9076  1 H 3.38, 2 Te 3.72-3.79
3 Cs 0.0942 0.5926 0.4258  4 Te 3.82-3.94
4 Cs 0.4074 0.9058 0.5742  4 Te 3.82-3.94
5 Cs 0.4089 0.9329 0.0924  1 H 3.38, 2 Te 3.72-3.79
6 Cs 0.4865 0.4865 0.1890  2 H 3.23
7 Cs 0.5135 0.5135 0.8110  2 H 3.23
8 Cs 0.5911 0.0671 0.9076  1 H 3.38, 2 Te 3.72-3.79
9 Cs 0.5926 0.0942 0.4258  4 Te 3.82-3.94
10 Cs 0.9058 0.4074 0.5742  4 Te 3.82-3.94
11 Cs 0.9329 0.4089 0.0924  1 H 3.38, 2 Te 3.72-3.79
12 Cs 0.9994 0.9994 0.8148  2 H 3.38, 2 Te 3.72-3.73
13 Te 0.1841 0.1841 0.8447  7 Cs 3.72-3.94
14 Te 0.1851 0.1851 0.3443  7 Cs 3.72-3.91
15 Te 0.5000 0.5000 0.5000  6 Cs 3.68-3.88
16 Te 0.8149 0.8149 0.6557  7 Cs 3.72-3.91
17 Te 0.8159 0.8159 0.1553  7 Cs 3.72-3.94
18 H 0.2688 0.7312 0.0000  6 Cs 3.23-3.38
19 H 0.7312 0.2688 0.0000  6 Cs 3.23-3.38

E   -47.70 eV per cell
SG   No. 12

=====

No. 8
Entry from Alexandria: an optimized crystal structure of Cs3TeH (PBE).

abc: 6.9231 6.9231 7.5587
angles: 90.00 90.00 90.00
Last column: nearest neighbours and their distance in Å.
Element x y z (fractional)
1 Cs 0.0000 0.0000 0.0000  1 Te 3.55
2 Cs 0.0000 0.5000 0.6177  2 H 3.62, 2 Te 3.64
3 Cs 0.5000 0.0000 0.6177  2 H 3.62, 2 Te 3.64
4 Te 0.0000 0.0000 0.4691  5 Cs 3.55-3.64
5 H 0.5000 0.5000 0.7568  4 Cs 3.62

Energy above the lowest structure with this stoichiometry   0.222 eV/atom
SG   No. 99